1.
VASP calculation (PBE) on an optimized crystal structure of AlFe3H.

Calculated values
Its total energy is -6.40 eV per atom. Its symmetry is Cmcm.

a = 5.016 Å, b = 5.016 Å, c = 4.736 Å
α = 90.00°, β = 90.00°, γ = 115.98°
Atoms (fractional coordinates):
Al  0.070  0.930  0.750
Al  0.930  0.070  0.250
Fe  0.004  0.589  0.250
Fe  0.411  0.996  0.250
Fe  0.500  0.500  0.000
Fe  0.500  0.500  0.500
Fe  0.589  0.004  0.750
Fe  0.996  0.411  0.750
H  0.359  0.641  0.750
H  0.641  0.359  0.250

2.
VASP calculation (PBE) on an optimized crystal structure of AcPm2IrN4.

Calculated values
The value obtained for the formation energy (no corrections) is -0.80 eV/atom. Its symmetry is Cmcm.

a = 6.395 Å, b = 6.395 Å, c = 11.988 Å
α = 90.00°, β = 90.00°, γ = 147.75°
Atoms (fractional coordinates):
Ac  0.106  0.894  0.750
Ac  0.894  0.106  0.250
Pm  0.369  0.631  0.545
Pm  0.369  0.631  0.955
Pm  0.631  0.369  0.045
Pm  0.631  0.369  0.455
Ir  0.155  0.845  0.250
Ir  0.845  0.155  0.750
N  0.000  0.000  0.000
N  0.000  0.000  0.500
N  0.271  0.729  0.129
N  0.271  0.729  0.371
N  0.436  0.564  0.750
N  0.564  0.436  0.250
N  0.729  0.271  0.629
N  0.729  0.271  0.871

3.
VASP calculation (PBE) on an optimized crystal structure of Cs2RbGeMo.

Calculated values
The calculation puts the formation energy at 1624 meV/atom. Its symmetry is P4/mmm.

a = 7.790 Å, b = 7.790 Å, c = 6.444 Å
α = 90.00°, β = 90.00°, γ = 90.00°
Atoms (fractional coordinates):
Cs  0.000  0.500  0.000
Cs  0.500  0.000  0.000
Rb  0.000  0.000  0.000
Ge  0.500  0.500  0.500
Mo  0.000  0.000  0.500

4.
VASP calculation (PBE) on an optimized crystal structure of NaPBrO2.

Calculated values
The value obtained for the formation energy (no corrections) is 0.81 eV/atom. Its symmetry is P4/mmm.

a = 4.169 Å, b = 4.169 Å, c = 6.256 Å
α = 90.00°, β = 90.00°, γ = 90.00°
Atoms (fractional coordinates):
Na  0.000  0.000  0.000
P  0.000  0.000  0.500
Br  0.500  0.500  0.500
O  0.000  0.500  0.000
O  0.500  0.000  0.000

5.
VASP calculation (PBE) on an optimized crystal structure of CaCo2Os.

Calculated values
The calculation puts the formation energy at 611 meV/atom. Its symmetry is Immm.

a = 5.349 Å, b = 5.349 Å, c = 5.349 Å
α = 147.83°, β = 127.01°, γ = 63.36°
Atoms (fractional coordinates):
Ca  0.000  0.000  0.000
Co  0.282  0.782  0.500
Co  0.718  0.218  0.500
Os  0.500  0.500  0.000

6.
VASP calculation (PBE) on an optimized crystal structure of Sm4DyHo8.

Calculated values
The calculation puts the formation energy at 512 meV/atom. Its symmetry is R-3m.

a = 7.757 Å, b = 7.757 Å, c = 7.757 Å
α = 89.95°, β = 89.95°, γ = 89.95°
Atoms (fractional coordinates):
Sm  0.000  0.000  0.000
Sm  0.000  0.500  0.500
Sm  0.500  0.000  0.500
Sm  0.500  0.500  0.000
Dy  0.500  0.500  0.500
Ho  0.240  0.240  0.240
Ho  0.240  0.759  0.759
Ho  0.241  0.241  0.760
Ho  0.241  0.760  0.241
Ho  0.759  0.240  0.759
Ho  0.759  0.759  0.240
Ho  0.760  0.241  0.241
Ho  0.760  0.760  0.760

What is the formula in the first record?
AlFe3H